Computed, not measured: a geometry-optimized AcTb2Pm6Tm structure at the PBE level of DFT.

## Properties
Formation energy, meV/atom: 121

a b c (Å): 9.360 15.516 9.663
angles (deg): 90.00 95.37 90.00
Space group C2/c (No. 15)
Inequivalent atoms, fractional coordinates:
Ac: 0.000 0.026 0.250 [4 per cell]
Tb: 0.238 0.443 0.452 [8 per cell]
Pm: 0.057 0.187 0.945 [8 per cell]
Pm: 0.103 0.390 0.116 [8 per cell]
Pm: 0.216 0.225 0.313 [8 per cell]
Tm: 0.000 0.414 0.750 [4 per cell]

Computed, not measured: a geometry-optimized Tb3Ga2Pd3 structure at the PBE level of DFT.

## Properties
Formation energy, meV/atom: -844

a b c (Å): 4.382 10.628 14.389
angles (deg): 90.00 90.00 90.00
Space group Cmcm (No. 63)
Inequivalent atoms, fractional coordinates:
Tb: 0.000 0.080 0.105 [8 per cell]
Tb: 0.000 0.363 0.250 [4 per cell]
Ga: 0.000 0.216 0.597 [8 per cell]
Pd: 0.000 0.350 0.750 [4 per cell]
Pd: 0.000 0.384 0.044 [8 per cell]

Computed, not measured: a geometry-optimized Pm2Pr12Nd5 structure at the PBE level of DFT.

## Properties
Formation energy, meV/atom: 112
E above lowest polymorph, meV/atom: 25

a b c (Å): 16.197 10.491 8.131
angles (deg): 90.00 91.47 90.00
Space group C2/m (No. 12)
Inequivalent atoms, fractional coordinates:
Pm: 0.000 0.239 0.000 [4 per cell]
Pr: 0.051 0.500 0.711 [4 per cell]
Pr: 0.105 0.276 0.390 [8 per cell]
Pr: 0.150 0.000 0.116 [4 per cell]
Pr: 0.191 0.228 0.794 [8 per cell]
Nd: 0.000 0.000 0.500 [2 per cell]
Nd: 0.150 0.500 0.081 [4 per cell]
Nd: 0.246 0.000 0.483 [4 per cell]

Computed, not measured: a geometry-optimized Ti3Al4Au2 structure at the PBE level of DFT.

## Properties
Formation energy, meV/atom: -296

a b c (Å): 11.643 10.661 4.939
angles (deg): 90.00 96.73 90.00
Space group C2/c (No. 15)
Inequivalent atoms, fractional coordinates:
Ti: 0.000 0.027 0.250 [4 per cell]
Ti: 0.095 0.432 0.969 [8 per cell]
Al: 0.086 0.284 0.488 [8 per cell]
Al: 0.162 0.173 0.015 [8 per cell]
Au: 0.214 0.081 0.549 [8 per cell]

Computed, not measured: a geometry-optimized Bi3PC structure at the PBE level of DFT.

## Properties
Formation energy, meV/atom: 1149
E above lowest polymorph, meV/atom: 0

a b c (Å): 4.968 4.968 4.968
angles (deg): 90.00 90.00 90.00
Space group Pm-3m (No. 221)
Inequivalent atoms, fractional coordinates:
Bi: 0.000 0.000 0.500 [3 per cell]
P: 0.500 0.500 0.500 [1 per cell]
C: 0.000 0.000 0.000 [1 per cell]

Computed, not measured: a geometry-optimized ZrSnP3 structure at the PBE level of DFT.

## Properties
Formation energy, meV/atom: 915
E above lowest polymorph, meV/atom: 640

a b c (Å): 4.900 4.900 4.900
angles (deg): 90.00 90.00 90.00
Space group Pm-3m (No. 221)
Inequivalent atoms, fractional coordinates:
Zr: 0.000 0.000 0.000 [1 per cell]
Sn: 0.500 0.500 0.500 [1 per cell]
P: 0.000 0.500 0.500 [3 per cell]

Computed, not measured: a geometry-optimized CrIr2Br structure at the PBE level of DFT.

## Properties
Formation energy from raw total energies, eV/atom: 0.562
E above lowest polymorph, meV/atom: 153

a b c (Å): 2.838 4.697 11.170
angles (deg): 90.00 90.00 90.00
Space group Cmmm (No. 65)
Inequivalent atoms, fractional coordinates:
Cr: 0.000 0.000 0.000 [2 per cell]
Ir: 0.000 0.500 0.182 [4 per cell]
Br: 0.000 0.000 0.500 [2 per cell]

Computed, not measured: a geometry-optimized NaLiDy2F8 structure at the PBE level of DFT.

## Properties
Formation energy from raw total energies, eV/atom: -3.708

a b c (Å): 3.824 5.452 7.585
angles (deg): 84.62 89.91 89.14
Space group P-1 (No. 2)
Inequivalent atoms, fractional coordinates:
Na: 0.000 0.000 0.000 [1 per cell]
Li: 0.000 0.000 0.500 [1 per cell]
Dy: 0.500 0.472 0.254 [2 per cell]
F: 0.005 0.314 0.765 [2 per cell]
F: 0.006 0.217 0.278 [2 per cell]
F: 0.490 0.740 0.476 [2 per cell]
F: 0.496 0.734 0.989 [2 per cell]

Computed, not measured: a geometry-optimized MgTl2Ag2I6 structure at the PBE level of DFT.

## Properties
Formation energy from raw total energies, eV/atom: -0.543

a b c (Å): 14.998 8.398 8.139
angles (deg): 90.00 121.88 90.00
Space group C2/m (No. 12)
Inequivalent atoms, fractional coordinates:
Mg: 0.000 0.000 0.000 [2 per cell]
Tl: 0.246 0.000 0.692 [4 per cell]
Ag: 0.062 0.500 0.721 [4 per cell]
I: 0.063 0.241 0.305 [8 per cell]
I: 0.222 0.000 0.094 [4 per cell]

Computed, not measured: a geometry-optimized K2GaTe structure at the PBE level of DFT.

## Properties
Formation energy from raw total energies, eV/atom: -0.337
E above lowest polymorph, meV/atom: 0

a b c (Å): 8.306 8.306 8.306
angles (deg): 90.00 90.00 90.00
Space group Fm-3m (No. 225)
Inequivalent atoms, fractional coordinates:
K: 0.250 0.250 0.250 [8 per cell]
Ga: 0.000 0.000 0.000 [4 per cell]
Te: 0.000 0.000 0.500 [4 per cell]

Computed, not measured: a geometry-optimized MnNi2Pt structure at the PBE level of DFT.

## Properties
Formation energy, meV/atom: -9

a b c (Å): 2.7042 2.7042 24.6766
angles (deg): 90.00 90.00 120.00
Space group R-3m (No. 166, hexagonal axes)
Inequivalent atoms, fractional coordinates:
Mn: 0.0000 0.0000 0.0000 [3 per cell]
Ni: 0.0000 0.0000 0.2548 [6 per cell]
Pt: 0.0000 0.0000 0.5000 [3 per cell]

Computed, not measured: a geometry-optimized SrZrSi2 structure at the PBE level of DFT.

## Properties
Formation energy from raw total energies, eV/atom: -0.349
E above lowest polymorph, meV/atom: 79

a b c (Å): 3.666 4.098 12.884
angles (deg): 90.00 90.00 90.00
Space group Imm2 (No. 44)
Inequivalent atoms, fractional coordinates:
Sr: 0.000 0.000 0.000 [2 per cell]
Zr: 0.000 0.500 0.764 [2 per cell]
Si: 0.000 0.000 0.624 [2 per cell]
Si: 0.000 0.500 0.259 [2 per cell]

Computed, not measured: a geometry-optimized PuGa4Tc structure at the PBE level of DFT.

## Properties
Formation energy, meV/atom: -300
E above lowest polymorph, meV/atom: 0

a b c (Å): 7.840 4.119 6.814
angles (deg): 90.00 90.00 90.00
Space group Pmma (No. 51)
Inequivalent atoms, fractional coordinates:
Pu: 0.250 0.000 0.128 [2 per cell]
Ga: 0.000 0.000 0.500 [2 per cell]
Ga: 0.058 0.500 0.819 [4 per cell]
Ga: 0.250 0.500 0.449 [2 per cell]
Tc: 0.250 0.000 0.714 [2 per cell]

Computed, not measured: a geometry-optimized NaGaAu3 structure at the PBE level of DFT.

## Properties
Formation energy, meV/atom: -71
E above lowest polymorph, meV/atom: 176

a b c (Å): 4.967 4.967 4.967
angles (deg): 90.00 90.00 90.00
Space group Pm-3m (No. 221)
Inequivalent atoms, fractional coordinates:
Na: 0.000 0.000 0.000 [1 per cell]
Ga: 0.500 0.500 0.500 [1 per cell]
Au: 0.000 0.500 0.500 [3 per cell]

Computed, not measured: a geometry-optimized BeAg2PS4 structure at the PBE level of DFT.

## Properties
Formation energy from raw total energies, eV/atom: -0.221

a b c (Å): 5.481 5.843 6.146
angles (deg): 65.57 65.81 86.93
Space group P1 (No. 1)
Inequivalent atoms, fractional coordinates:
Be: 0.000 0.000 0.000 [1 per cell]
Ag: 0.271 0.768 0.484 [1 per cell]
Ag: 0.514 0.516 0.976 [1 per cell]
P: 0.732 0.242 0.510 [1 per cell]
S: 0.102 0.671 0.205 [1 per cell]
S: 0.352 0.300 0.750 [1 per cell]
S: 0.667 0.122 0.250 [1 per cell]
S: 0.849 0.925 0.760 [1 per cell]

Computed, not measured: a geometry-optimized AcCeEuTm structure at the PBE level of DFT.

## Properties
Formation energy, meV/atom: 272

a b c (Å): 8.410 8.410 8.410
angles (deg): 90.00 90.00 90.00
Space group F-43m (No. 216)
Inequivalent atoms, fractional coordinates:
Ac: 0.000 0.000 0.000 [4 per cell]
Ce: 0.250 0.250 0.750 [4 per cell]
Eu: 0.250 0.250 0.250 [4 per cell]
Tm: 0.000 0.000 0.500 [4 per cell]

Computed, not measured: a geometry-optimized Zr2Be2Bi structure at the PBE level of DFT.

## Properties
Formation energy, meV/atom: -170

a b c (Å): 6.682 6.682 3.902
angles (deg): 90.00 90.00 90.00
Space group P4/mbm (No. 127)
Inequivalent atoms, fractional coordinates:
Zr: 0.173 0.327 0.000 [4 per cell]
Be: 0.109 0.609 0.500 [4 per cell]
Bi: 0.000 0.000 0.500 [2 per cell]

Computed, not measured: a geometry-optimized LaTlZnW2 structure at the PBE level of DFT.

## Properties
Formation energy, meV/atom: 1330

a b c (Å): 4.846 4.846 4.930
angles (deg): 90.00 90.00 90.00
Space group P4/mmm (No. 123)
Inequivalent atoms, fractional coordinates:
La: 0.000 0.000 0.000 [1 per cell]
Tl: 0.500 0.500 0.000 [1 per cell]
Zn: 0.500 0.500 0.500 [1 per cell]
W: 0.000 0.500 0.500 [2 per cell]

Computed, not measured: a geometry-optimized PuAlGa4 structure at the PBE level of DFT.

## Properties
Formation energy, meV/atom: -77
E above lowest polymorph, meV/atom: 111

a b c (Å): 7.751 7.751 7.751
angles (deg): 90.00 90.00 90.00
Space group F-43m (No. 216)
Inequivalent atoms, fractional coordinates:
Pu: 0.000 0.000 0.000 [4 per cell]
Al: 0.250 0.250 0.250 [4 per cell]
Ga: 0.125 0.125 0.625 [16 per cell]

Computed, not measured: a geometry-optimized Li2Y3Cu9 structure at the PBE level of DFT.

## Properties
Formation energy, meV/atom: -166

a b c (Å): 4.243 8.621 12.536
angles (deg): 90.00 90.00 90.00
Space group Immm (No. 71)
Inequivalent atoms, fractional coordinates:
Li: 0.000 0.193 0.000 [4 per cell]
Y: 0.000 0.000 0.209 [4 per cell]
Y: 0.000 0.000 0.500 [2 per cell]
Cu: 0.000 0.286 0.370 [8 per cell]
Cu: 0.000 0.355 0.167 [8 per cell]
Cu: 0.000 0.500 0.500 [2 per cell]

Computed, not measured: a geometry-optimized SmTmHg4 structure at the PBE level of DFT.

## Properties
Formation energy, meV/atom: -387
E above lowest polymorph, meV/atom: 0

a b c (Å): 5.209 3.941 14.658
angles (deg): 90.00 90.00 90.00
Space group Amm2 (No. 38)
Inequivalent atoms, fractional coordinates:
Sm: 0.000 0.000 0.000 [2 per cell]
Tm: 0.500 0.000 0.792 [2 per cell]
Hg: 0.000 0.000 0.329 [2 per cell]
Hg: 0.000 0.000 0.668 [2 per cell]
Hg: 0.500 0.000 0.128 [2 per cell]
Hg: 0.500 0.000 0.457 [2 per cell]